GaOs2W | PBE | relaxed

Calculated values
As for the calculated volume: 60 Å³ per cell.

a b c (Å): 4.3898 4.3898 4.3898
angles (deg): 60.00 60.00 60.00
With the nearest neighbours (Å) after each atom.
Fractional coordinates of all 4 atoms:
Ga 0.0000 0.0000 0.0000  4 W 2.69, 4 Os 2.69
Os 0.5000 0.5000 0.5000  4 W 2.69, 4 Os 2.69
Os 0.7500 0.7500 0.7500  4 Os 2.69, 4 Ga 2.69
W 0.2500 0.2500 0.2500  4 Os 2.69, 4 Ga 2.69


GaOsW2 | PBE | relaxed

Calculated values
As for the calculated volume: 61 Å³ per cell.

a b c (Å): 4.4251 4.4251 4.4251
angles (deg): 60.00 60.00 60.00
With the nearest neighbours (Å) after each atom.
Fractional coordinates of all 4 atoms:
Ga 0.0000 0.0000 0.0000  4 W 2.71, 4 Os 2.71
Os 0.2500 0.2500 0.2500  4 W 2.71, 4 Ga 2.71
W 0.5000 0.5000 0.5000  4 W 2.71, 4 Os 2.71
W 0.7500 0.7500 0.7500  4 Ga 2.71, 4 W 2.71


YGaOs | PBE | relaxed

Calculated values
As for the calculated volume: 70 Å³ per cell.

a b c (Å): 4.6191 4.6191 4.6191
angles (deg): 60.00 60.00 60.00
With the nearest neighbours (Å) after each atom.
Fractional coordinates of all 3 atoms:
Y 0.0000 0.0000 0.0000  4 Os 2.83, 4 Ga 2.83
Ga 0.2500 0.2500 0.2500  4 Y 2.83
Os 0.7500 0.7500 0.7500  4 Y 2.83


Y2GaOs | PBE | relaxed

Calculated values
As for the calculated volume: 79 Å³ per cell.

a b c (Å): 4.8254 4.8254 4.8254
angles (deg): 60.00 60.00 60.00
With the nearest neighbours (Å) after each atom.
Fractional coordinates of all 4 atoms:
Y 0.0000 0.0000 0.0000  4 Os 2.95, 4 Y 2.95
Y 0.2500 0.2500 0.2500  4 Ga 2.95, 4 Y 2.95
Ga 0.5000 0.5000 0.5000  4 Os 2.95, 4 Y 2.95
Os 0.7500 0.7500 0.7500  4 Y 2.95, 4 Ga 2.95


Y2GaOs3 | PBE | relaxed

Calculated values
As for the calculated volume: 218 Å³ per cell.

a b c (Å): 5.3910 5.3910 8.6799
angles (deg): 90.00 90.00 120.00
With the nearest neighbours (Å) after each atom.
Fractional coordinates of all 12 atoms:
Y 0.3333 0.6667 0.0677  9 Os 3.13-3.14, 4 Y 3.16-3.33, 3 Ga 3.17
Y 0.3333 0.6667 0.4323  9 Os 3.13-3.14, 4 Y 3.16-3.33, 3 Ga 3.17
Y 0.6667 0.3333 0.5677  9 Os 3.13-3.14, 4 Y 3.16-3.33, 3 Ga 3.17
Y 0.6667 0.3333 0.9323  9 Os 3.13-3.14, 4 Y 3.16-3.33, 3 Ga 3.17
Ga 0.0000 0.0000 0.0000  6 Os 2.70
Ga 0.0000 0.0000 0.5000  6 Os 2.70
Os 0.1718 0.3437 0.7500  4 Os 2.61-2.78, 2 Ga 2.70
Os 0.1718 0.8282 0.7500  4 Os 2.61-2.78, 2 Ga 2.70
Os 0.3437 0.1718 0.2500  4 Os 2.61-2.78, 2 Ga 2.70
Os 0.6563 0.8282 0.7500  4 Os 2.61-2.78, 2 Ga 2.70
Os 0.8282 0.1718 0.2500  4 Os 2.61-2.78, 2 Ga 2.70
Os 0.8282 0.6563 0.2500  4 Os 2.61-2.78, 2 Ga 2.70


YGaOs | PBE | relaxed

Calculated values
As for the calculated volume: 62 Å³ per cell.

a b c (Å): 4.4418 4.4418 4.4418
angles (deg): 60.00 60.00 60.00
With the nearest neighbours (Å) after each atom.
Fractional coordinates of all 3 atoms:
Y 0.0000 0.0000 0.0000  4 Ga 2.72
Ga 0.7500 0.7500 0.7500  4 Y 2.72, 4 Os 2.72
Os 0.5000 0.5000 0.5000  4 Ga 2.72


YGa3Os | PBE | relaxed

Calculated values
As for the calculated volume: 266 Å³ per cell.

a b c (Å): 6.4315 6.4315 6.4315
angles (deg): 90.00 90.00 90.00
With the nearest neighbours (Å) after each atom.
Fractional coordinates of all 15 atoms:
Y 0.0000 0.0000 0.5000  10 Ga 2.96-3.22, 4 Os 3.22
Y 0.0000 0.5000 0.0000  10 Ga 2.96-3.22, 4 Os 3.22
Y 0.5000 0.0000 0.0000  10 Ga 2.96-3.22, 4 Os 3.22
Ga 0.0000 0.0000 0.0000  6 Y 3.22, 8 Ga 3.22
Ga 0.2888 0.2888 0.2888  3 Os 2.67, 3 Ga 2.72, 3 Y 2.96
Ga 0.2888 0.2888 0.7112  3 Os 2.67, 3 Ga 2.72, 3 Y 2.96
Ga 0.2888 0.7112 0.2888  3 Os 2.67, 3 Ga 2.72, 3 Y 2.96
Ga 0.2888 0.7112 0.7112  3 Os 2.67, 3 Ga 2.72, 3 Y 2.96
Ga 0.7112 0.2888 0.2888  3 Os 2.67, 3 Ga 2.72, 3 Y 2.96
Ga 0.7112 0.2888 0.7112  3 Os 2.67, 3 Ga 2.72, 3 Y 2.96
Ga 0.7112 0.7112 0.2888  3 Os 2.67, 3 Ga 2.72, 3 Y 2.96
Ga 0.7112 0.7112 0.7112  3 Os 2.67, 3 Ga 2.72, 3 Y 2.96
Os 0.0000 0.5000 0.5000  8 Ga 2.67
Os 0.5000 0.0000 0.5000  8 Ga 2.67
Os 0.5000 0.5000 0.0000  8 Ga 2.67


YGaOs2 | PBE | relaxed

Calculated values
As for the calculated volume: 69 Å³ per cell.

a b c (Å): 4.6018 4.6018 4.6018
angles (deg): 60.00 60.00 60.00
With the nearest neighbours (Å) after each atom.
Fractional coordinates of all 4 atoms:
Y 0.0000 0.0000 0.0000  4 Os 2.82, 4 Ga 2.82
Ga 0.7500 0.7500 0.7500  4 Os 2.82, 4 Y 2.82
Os 0.2500 0.2500 0.2500  4 Os 2.82, 4 Y 2.82
Os 0.5000 0.5000 0.5000  4 Os 2.82, 4 Ga 2.82


What are the total magnetic moment values for these records? In order: 0.021, 0.001, 0.014, 0.000, 0.005, 0.001, 0.008, 0.667 Bohr magnetons per cell.
What are the total DFT energy (no corrections) values for these records? In order: -9.2064, -9.8494, -6.1704, -6.8957, -8.5995, -6.8125, -5.8410, -7.6974 eV/atom.